No. 1
Material: LaMg2Rh2
Method: DFT, SCAN
State: single point on PBEsol structure

Results
Distance to the lowest polymorph of the same formula: 1.5 kJ/mol of formula units
DOS at the Fermi energy: 3.2 states/eV/cell
E_form: -58.4 kJ/mol of atoms
Magnetization: 0.0 μB/cell

abc: 7.636 7.636 3.146
angles: 90.00 90.00 90.00
Atoms (fractional coordinates):
La 0.000 0.000 0.000
La 0.500 0.500 0.000
Mg 0.131 0.369 0.500
Mg 0.369 0.869 0.500
Mg 0.631 0.131 0.500
Mg 0.869 0.631 0.500
Rh 0.165 0.665 0.000
Rh 0.335 0.165 0.000
Rh 0.665 0.835 0.000
Rh 0.835 0.335 0.000


No. 2
Material: LiCd3Tc
Method: DFT, SCAN
State: single point on PBEsol structure

Results
DOS at the Fermi energy: 2.0 states/eV/cell
E_form: 76.6 kJ/mol of atoms
Magnetization: 2.4 μB/cell

abc: 4.471 4.471 4.471
angles: 90.00 90.00 90.00
Atoms (fractional coordinates):
Li 0.000 0.000 0.000
Cd 0.000 0.000 0.500
Cd 0.000 0.500 0.000
Cd 0.500 0.000 0.000
Tc 0.500 0.500 0.500


Q: Which value of magnetization does entry 2 give?
A: 2.4 μB/cell


Repeat the second record exactly.
Material: LiCd3Tc
Method: DFT, SCAN
State: single point on PBEsol structure

Results
DOS at the Fermi energy: 2.0 states/eV/cell
E_form: 76.6 kJ/mol of atoms
Magnetization: 2.4 μB/cell

abc: 4.471 4.471 4.471
angles: 90.00 90.00 90.00
Atoms (fractional coordinates):
Li 0.000 0.000 0.000
Cd 0.000 0.000 0.500
Cd 0.000 0.500 0.000
Cd 0.500 0.000 0.000
Tc 0.500 0.500 0.500